Compound: UMn2PtO8
Source: the Alexandria database
Functional: PBE+U
Structure: relaxed

As for the density of states at the Fermi level: 4.0 states/eV/f.u. The final energy is -7.349 eV per atom.

Cell and atoms, written as CIF:
```
data_UMn2PtO8
_cell_length_a 5.824
_cell_length_b 6.391
_cell_length_c 6.460
_cell_angle_alpha 60.89
_cell_angle_beta 71.74
_cell_angle_gamma 67.64
_space_group_name_H-M_alt 'P -1'
_space_group_IT_number 2
loop_
_space_group_symop_operation_xyz
'x,y,z'
'-x,-y,-z'
loop_
_atom_site_label
_atom_site_fract_x
_atom_site_fract_y
_atom_site_fract_z
U1 0.000 0.000 0.000
Mn1 0.211 0.386 0.198
Pt1 0.000 0.000 0.500
O1 0.093 0.279 0.972
O2 0.118 0.195 0.567
O3 0.337 0.678 0.164
O4 0.404 0.785 0.905
```